[1]
## HfHgRuCl2 (PBE)

Data for crystalline HfHgRuCl2 at its relaxed geometry.

Geometry as POSCAR:
```
HfHgRuCl2
1.0
4.945 0.000 0.000
0.000 4.945 0.000
0.000 0.000 5.147
Hf Hg Ru Cl
1 1 1 2
Direct
0.000 0.000 0.000
0.500 0.500 0.500
0.000 0.000 0.500
0.000 0.500 0.000
0.500 0.000 0.000
```

Calculated values
uncorrected formation energy	-0.04	eV/atom
electronic total energy	-0.34435	Ry per atom

[2]
## TlCdAgTe2 (PBE)

Data for crystalline TlCdAgTe2 at its relaxed geometry.

Geometry as POSCAR:
```
TlCdAgTe2
1.0
3.173 -7.607 0.000
3.173 7.607 0.000
0.000 0.000 6.901
Tl Cd Ag Te
2 2 2 4
Direct
0.250 0.750 0.769
0.750 0.250 0.231
0.250 0.250 0.000
0.750 0.750 0.000
0.000 0.000 0.500
0.500 0.500 0.500
0.124 0.876 0.226
0.376 0.624 0.226
0.624 0.376 0.774
0.876 0.124 0.774
```

Calculated values
uncorrected formation energy	-0.22	eV/atom
electronic total energy	-0.19851	Ry per atom

[3]
## TaSi2Mo (PBE)

Data for crystalline TaSi2Mo at its relaxed geometry.

Geometry as POSCAR:
```
TaSi2Mo
1.0
2.875 0.000 0.000
0.000 3.863 0.000
-1.160 0.000 5.454
Ta Si Mo
1 2 1
Direct
0.000 0.000 0.000
0.250 0.500 0.737
0.750 0.500 0.263
0.500 0.000 0.500
```

Calculated values
uncorrected formation energy	-0.15	eV/atom
electronic total energy	-0.62720	Ry per atom

[4]
## KCd4Pt (PBE)

Data for crystalline KCd4Pt at its relaxed geometry.

Geometry as POSCAR:
```
KCd4Pt
1.0
0.000 4.099 4.099
4.099 0.000 4.099
4.099 4.099 0.000
K Cd Pt
1 4 1
Direct
0.000 0.000 0.000
0.376 0.376 0.376
0.376 0.376 0.872
0.376 0.872 0.376
0.872 0.376 0.376
0.750 0.750 0.750
```

Calculated values
electronic total energy	-0.12688	Ry per atom
energy of formation from the pure elements	0.4	eV per formula unit

[5]
## HoTl4Pd15 (PBE)

Data for crystalline HoTl4Pd15 at its relaxed geometry.

Geometry as POSCAR:
```
HoTl4Pd15
1.0
4.088 0.000 0.000
0.000 4.088 0.000
0.000 0.000 20.505
Ho Tl Pd
1 4 15
Direct
0.000 0.000 0.000
0.000 0.000 0.202
0.000 0.000 0.400
0.000 0.000 0.600
0.000 0.000 0.798
0.000 0.500 0.101
0.000 0.500 0.301
0.000 0.500 0.500
0.000 0.500 0.699
0.000 0.500 0.899
0.500 0.000 0.101
0.500 0.000 0.301
0.500 0.000 0.500
0.500 0.000 0.699
0.500 0.000 0.899
0.500 0.500 0.000
0.500 0.500 0.200
0.500 0.500 0.400
0.500 0.500 0.600
0.500 0.500 0.800
```

Calculated values
electronic total energy	-0.36196	Ry per atom
energy of formation from the pure elements	-6.6	eV per formula unit

[6]
## AlZnCo2H (PBE)

Data for crystalline AlZnCo2H at its relaxed geometry.

Geometry as POSCAR:
```
AlZnCo2H
1.0
3.748 0.000 0.000
0.000 3.748 0.000
0.000 0.000 3.541
Al Zn Co H
1 1 2 1
Direct
0.000 0.000 0.000
0.500 0.500 0.000
0.000 0.500 0.500
0.500 0.000 0.500
0.500 0.500 0.500
```

Calculated values
electronic total energy	-0.34057	Ry per atom